Entry 1:
The following is a PBE calculation of a relaxed BaNb2Co crystal, from Alexandria.

Computed properties:
Formation energy from the elements   1.055 eV/atom
N(E_F)   1.243 states/eV per atom
E_tot   -99.79 eV per cell
Calculated density   5.632 Mg/m³
Calculated volume   113 Å³/f.u.

Geometry as CIF:
```
data_BaNb2Co
_space_group_name_H-M_alt 'I 41/a m d'
_space_group_IT_number 141
_cell_length_a 5.1993
_cell_length_b 5.1993
_cell_length_c 16.6700
_cell_angle_alpha 90.00
_cell_angle_beta 90.00
_cell_angle_gamma 90.00
loop_
_space_group_symop_operation_xyz
'x,y,z'
'-x,-y,-z'
'-y+1/4,x+3/4,z+1/4'
'y+1/4,-x+3/4,-z+1/4'
'-x+1/2,-y,z+1/2'
'x+1/2,y,-z+1/2'
'y+1/4,-x+1/4,z+3/4'
'-y+1/4,x+1/4,-z+3/4'
'x,-y,-z'
'-x,y,z'
'-y+1/4,-x+1/4,-z+3/4'
'y+1/4,x+1/4,z+3/4'
'-x+1/2,y,-z+1/2'
'x+1/2,-y,z+1/2'
'y+1/4,x+3/4,-z+1/4'
'-y+1/4,-x+3/4,z+1/4'
'x+1/2,y+1/2,z+1/2'
'-x+1/2,-y+1/2,-z+1/2'
'-y+3/4,x+1/4,z+3/4'
'y+3/4,-x+1/4,-z+3/4'
'-x,-y+1/2,z'
'x,y+1/2,-z'
'y+3/4,-x+3/4,z+1/4'
'-y+3/4,x+3/4,-z+1/4'
'x+1/2,-y+1/2,-z+1/2'
'-x+1/2,y+1/2,z+1/2'
'-y+3/4,-x+3/4,-z+1/4'
'y+3/4,x+3/4,z+1/4'
'-x,y+1/2,-z'
'x,-y+1/2,z'
'y+3/4,x+1/4,-z+3/4'
'-y+3/4,-x+1/4,z+3/4'
loop_
_atom_site_label
_atom_site_type_symbol
_atom_site_fract_x
_atom_site_fract_y
_atom_site_fract_z
Ba1 Ba 0.0000 0.2500 0.3750
Nb1 Nb 0.0000 0.0000 0.0000
Co1 Co 0.0000 0.2500 0.8750
```



Entry 2:
The following is a PBE calculation of a relaxed NiP2WS crystal, from Alexandria.

Computed properties:
N(E_F)   0.918 states/eV per atom
E_tot   -28.66 eV per cell
Calculated density   6.896 Mg/m³
Formation energy (no corrections)   1.00 eV/atom
Calculated volume   81 Å³/f.u.

Geometry as CIF:
```
data_NiP2WS
_space_group_name_H-M_alt 'P 4/m m m'
_space_group_IT_number 123
_space_group_name_Hall '-P 4 2'
_cell_length_a 4.2782
_cell_length_b 4.2782
_cell_length_c 4.4276
_cell_angle_alpha 90.00
_cell_angle_beta 90.00
_cell_angle_gamma 90.00
loop_
_atom_site_label
_atom_site_type_symbol
_atom_site_fract_x
_atom_site_fract_y
_atom_site_fract_z
Ni1 Ni 0.0000 0.0000 0.0000
P1 P 0.0000 0.5000 0.0000
W1 W 0.5000 0.5000 0.5000
S1 S 0.0000 0.0000 0.5000
```



Entry 3:
The following is a PBE calculation of a relaxed ReNiOs crystal, from Alexandria.

Computed properties:
Formation energy from the elements   0.103 eV/atom
N(E_F)   0.868 states/eV per atom
E_tot   -29.15 eV per cell
Calculated density   17.523 Mg/m³
Calculated volume   41 Å³/f.u.

Geometry as CIF:
```
data_ReNiOs
_space_group_name_H-M_alt 'P 3 m 1'
_space_group_IT_number 156
_cell_length_a 2.7130
_cell_length_b 2.7130
_cell_length_c 6.4688
_cell_angle_alpha 90.00
_cell_angle_beta 90.00
_cell_angle_gamma 120.00
loop_
_space_group_symop_operation_xyz
'x,y,z'
'-y,x-y,z'
'-x+y,-x,z'
'-y,-x,z'
'-x+y,y,z'
'x,x-y,z'
loop_
_atom_site_label
_atom_site_type_symbol
_atom_site_fract_x
_atom_site_fract_y
_atom_site_fract_z
Re1 Re 0.0000 0.0000 0.0000
Ni1 Ni 0.6667 0.3333 0.3325
Os1 Os 0.3333 0.6667 0.6666
```



Entry 4:
The following is a PBE calculation of a relaxed CaScOs2 crystal, from Alexandria.

Computed properties:
Formation energy from the elements   0.253 eV/atom
N(E_F)   0.631 states/eV per atom
E_tot   -29.78 eV per cell
Calculated density   10.214 Mg/m³
Calculated volume   76 Å³/f.u.

Geometry as CIF:
```
data_CaScOs2
_space_group_name_H-M_alt 'P 1 2/m 1'
_space_group_IT_number 10
_cell_length_a 2.8940
_cell_length_b 4.3920
_cell_length_c 6.0231
_cell_angle_alpha 90.00
_cell_angle_beta 98.68
_cell_angle_gamma 90.00
loop_
_space_group_symop_operation_xyz
'x,y,z'
'-x,-y,-z'
'-x,y,-z'
'x,-y,z'
loop_
_atom_site_label
_atom_site_type_symbol
_atom_site_fract_x
_atom_site_fract_y
_atom_site_fract_z
Ca1 Ca 0.0000 0.0000 0.0000
Sc1 Sc 0.5000 0.0000 0.5000
Os1 Os 0.2791 0.5000 0.6931
```



Entry 5:
The following is a PBE calculation of a relaxed ThInH crystal, from Alexandria.

Computed properties:
N(E_F)   0.298 states/eV per atom
E_tot   -28.28 eV per cell
Calculated density   8.919 Mg/m³
Calculated volume   65 Å³/f.u.

Geometry as CIF:
```
data_ThInH
_space_group_name_H-M_alt 'P -1'
_space_group_IT_number 2
_cell_length_a 4.3475
_cell_length_b 4.3566
_cell_length_c 8.2752
_cell_angle_alpha 105.17
_cell_angle_beta 90.01
_cell_angle_gamma 119.90
loop_
_space_group_symop_operation_xyz
'x,y,z'
'-x,-y,-z'
loop_
_atom_site_label
_atom_site_type_symbol
_atom_site_fract_x
_atom_site_fract_y
_atom_site_fract_z
Th1 Th 0.1061 0.2126 0.3188
In1 In 0.3564 0.7130 0.0692
H1 H 0.2053 0.4092 0.6137
```



Entry 6:
The following is a PBE calculation of a relaxed MnTlOs2 crystal, from Alexandria.

Computed properties:
Formation energy from the elements   1.050 eV/atom
N(E_F)   0.732 states/eV per atom
E_tot   -119.18 eV per cell
Calculated density   15.596 Mg/m³
Calculated volume   68 Å³/f.u.

Geometry as CIF:
```
data_MnTlOs2
_space_group_name_H-M_alt 'I -4 2 d'
_space_group_IT_number 122
_space_group_name_Hall 'I -4 2bw'
_cell_length_a 7.2817
_cell_length_b 7.2817
_cell_length_c 5.1388
_cell_angle_alpha 90.00
_cell_angle_beta 90.00
_cell_angle_gamma 90.00
loop_
_atom_site_label
_atom_site_type_symbol
_atom_site_fract_x
_atom_site_fract_y
_atom_site_fract_z
Mn1 Mn 0.0000 0.0000 0.0000
Tl1 Tl 0.0000 0.0000 0.5000
Os1 Os 0.1828 0.2500 0.1250
```



Entry 7:
The following is a PBE calculation of a relaxed Ti3Ga2Tc crystal, from Alexandria.

Computed properties:
Formation energy from the elements   -0.488 eV/atom
N(E_F)   0.810 states/eV per atom
E_tot   -43.03 eV per cell
Calculated density   6.778 Mg/m³
Calculated volume   93 Å³/f.u.

Geometry as CIF:
```
data_Ti3Ga2Tc
_space_group_name_H-M_alt 'P 4/m m m'
_space_group_IT_number 123
_space_group_name_Hall '-P 4 2'
_cell_length_a 3.2149
_cell_length_b 3.2149
_cell_length_c 9.0328
_cell_angle_alpha 90.00
_cell_angle_beta 90.00
_cell_angle_gamma 90.00
loop_
_atom_site_label
_atom_site_type_symbol
_atom_site_fract_x
_atom_site_fract_y
_atom_site_fract_z
Ti1 Ti 0.0000 0.0000 0.0000
Ti2 Ti 0.0000 0.0000 0.3411
Ga1 Ga 0.5000 0.5000 0.1751
Tc1 Tc 0.5000 0.5000 0.5000
```



Entry 8:
The following is a PBE calculation of a relaxed K2PmSbO4 crystal, from Alexandria.

Computed properties:
E_tot   -185.16 eV per cell
Calculated density   4.977 Mg/m³
Formation energy (no corrections)   -1.92 eV/atom
Calculated volume   136 Å³/f.u.

Geometry as CIF:
```
data_K2PmSbO4
_space_group_name_H-M_alt 'I m m a'
_space_group_IT_number 74
_space_group_name_Hall '-I 2b 2'
_cell_length_a 7.2716
_cell_length_b 7.3045
_cell_length_c 10.2755
_cell_angle_alpha 90.00
_cell_angle_beta 90.00
_cell_angle_gamma 90.00
loop_
_atom_site_label
_atom_site_type_symbol
_atom_site_fract_x
_atom_site_fract_y
_atom_site_fract_z
K1 K 0.0000 0.0000 0.0000
K2 K 0.2500 0.2500 0.2500
Pm1 Pm 0.0000 0.0000 0.5000
Sb1 Sb 0.2500 0.2500 0.7500
O1 O 0.0000 0.0328 0.7323
O2 O 0.2135 0.2500 0.5188
```



Entry 9:
The following is a PBE calculation of a relaxed SiNi2Br crystal, from Alexandria.

Computed properties:
N(E_F)   1.098 states/eV per atom
E_tot   -61.77 eV per cell
Calculated density   6.292 Mg/m³
Formation energy (no corrections)   0.80 eV/atom
Calculated volume   59 Å³/f.u.

Geometry as CIF:
```
data_SiNi2Br
_space_group_name_H-M_alt 'F -4 3 m'
_space_group_IT_number 216
_space_group_name_Hall 'F -4 2 3'
_cell_length_a 6.1965
_cell_length_b 6.1965
_cell_length_c 6.1965
_cell_angle_alpha 90.00
_cell_angle_beta 90.00
_cell_angle_gamma 90.00
loop_
_atom_site_label
_atom_site_type_symbol
_atom_site_fract_x
_atom_site_fract_y
_atom_site_fract_z
Si1 Si 0.0000 0.0000 0.0000
Ni1 Ni 0.0000 0.0000 0.5000
Ni2 Ni 0.2500 0.2500 0.2500
Br1 Br 0.2500 0.2500 0.7500
```



Entry 10:
The following is a PBE calculation of a relaxed La2ScCd4 crystal, from Alexandria.

Computed properties:
Formation energy from the elements   -0.125 eV/atom
N(E_F)   0.993 states/eV per atom
E_tot   -62.17 eV per cell
Calculated density   6.084 Mg/m³
Calculated volume   211 Å³/f.u.

Geometry as CIF:
```
data_La2ScCd4
_space_group_name_H-M_alt 'R -3 m'
_space_group_IT_number 166
_space_group_name_Hall '-R 3 2"'
_cell_length_a 5.2983
_cell_length_b 5.2983
_cell_length_c 26.0163
_cell_angle_alpha 90.00
_cell_angle_beta 90.00
_cell_angle_gamma 120.00
loop_
_atom_site_label
_atom_site_type_symbol
_atom_site_fract_x
_atom_site_fract_y
_atom_site_fract_z
La1 La 0.0000 0.0000 0.2499
Sc1 Sc 0.0000 0.0000 0.0000
Cd1 Cd 0.0000 0.0000 0.1236
Cd2 Cd 0.0000 0.0000 0.3739
```



Entry 11:
The following is a PBE calculation of a relaxed Rb3Tl3PdBr8 crystal, from Alexandria.

Computed properties:
E_tot   -133.31 eV per cell
Calculated density   4.348 Mg/m³
Formation energy (no corrections)   -1.06 eV/atom
Calculated volume   617 Å³/f.u.

Geometry as CIF:
```
data_Rb3Tl3PdBr8
_space_group_name_H-M_alt 'R -3 m'
_space_group_IT_number 166
_space_group_name_Hall '-R 3 2"'
_cell_length_a 9.6094
_cell_length_b 9.6094
_cell_length_c 23.1453
_cell_angle_alpha 90.00
_cell_angle_beta 90.00
_cell_angle_gamma 120.00
loop_
_atom_site_label
_atom_site_type_symbol
_atom_site_fract_x
_atom_site_fract_y
_atom_site_fract_z
Rb1 Rb 0.0000 0.5000 0.0000
Tl1 Tl 0.0000 0.5000 0.5000
Pd1 Pd 0.0000 0.0000 0.0000
Br1 Br 0.0000 0.0000 0.2478
Br2 Br 0.0666 0.5333 0.7360
```